Entry 1:
A relaxed structure of NaLiYAu. Source: Alexandria via LeMat-Bulk, functional PBE-GGA.

Lattice parameters (Å, degrees): 5.0255 5.0255 5.0255 60.00 60.00 60.00
Last column: nearest neighbours and their distance in Å.
Positions (direct):
Y 0.5000 0.5000 0.5000  4 Li 3.08, 4 Au 3.08
Na 0.0000 0.0000 0.0000  4 Au 3.08, 4 Li 3.08
Au 0.2500 0.2500 0.2500  4 Na 3.08, 4 Y 3.08
Li 0.7500 0.7500 0.7500  4 Y 3.08, 4 Na 3.08

Properties
- energy relative to the elements (kJ/mol of atoms) = -22.6
- space group = No. 216
- DFT total energy (eV per formula unit) = -13.9

Entry 2:
A relaxed structure of Ta5TiTc6. Source: Alexandria via LeMat-Bulk, functional PBE-GGA.

Lattice parameters (Å, degrees): 4.4825 6.3505 7.7823 114.08 106.74 90.00
Last column: nearest neighbours and their distance in Å.
Positions (direct):
Ti 0.0000 0.0000 0.0000  8 Tc 2.74-2.75
Tc 0.8335 0.5840 0.6670  7 Ta 2.74-2.77, 1 Ti 2.75
Tc 0.8335 0.0830 0.6670  7 Ta 2.74-2.77, 1 Ti 2.75
Tc 0.5000 0.7510 0.0000  6 Ta 2.73-2.75, 2 Ti 2.74
Tc 0.5000 0.2490 0.0000  6 Ta 2.73-2.75, 2 Ti 2.74
Tc 0.1665 0.9170 0.3330  7 Ta 2.74-2.77, 1 Ti 2.75
Tc 0.1665 0.4160 0.3330  7 Ta 2.74-2.77, 1 Ti 2.75
Ta 0.6653 0.1653 0.3306  8 Tc 2.73-2.77
Ta 0.3336 0.3336 0.6671  8 Tc 2.75
Ta 0.0000 0.5000 0.0000  8 Tc 2.75
Ta 0.6664 0.6664 0.3329  8 Tc 2.75
Ta 0.3347 0.8347 0.6694  8 Tc 2.73-2.77

Properties
- energy relative to the elements (kJ/mol of atoms) = -50.0
- space group = No. 71
- DFT total energy (eV per formula unit) = -135.6

Entry 3:
A relaxed structure of Ba4YCd. Source: Alexandria via LeMat-Bulk, functional PBE-GGA.

Lattice parameters (Å, degrees): 7.4660 7.4660 7.4660 60.00 60.00 60.00
Last column: nearest neighbours and their distance in Å.
Positions (direct):
Ba 0.8755 0.3748 0.3748  6 Ba 3.73-3.74
Ba 0.3748 0.3748 0.8755  6 Ba 3.73-3.74
Ba 0.3748 0.8755 0.3748  6 Ba 3.73-3.74
Ba 0.3748 0.3748 0.3748  6 Ba 3.73-3.74
Y 0.0000 0.0000 0.0000  12 Ba 4.38, 4 Cd 4.57
Cd 0.7500 0.7500 0.7500  12 Ba 4.38, 4 Y 4.57

Properties
- energy relative to the elements (kJ/mol of atoms) = 44.7
- space group = No. 216
- DFT total energy (eV per formula unit) = -12.3

Entry 4:
A relaxed structure of Tb2ZrAl. Source: Alexandria via LeMat-Bulk, functional PBE-GGA.

Lattice parameters (Å, degrees): 4.6695 4.5969 4.5969 90.00 90.00 90.00
Last column: nearest neighbours and their distance in Å.
Positions (direct):
Tb 0.0000 0.0000 0.5000  4 Tb 3.25, 4 Al 3.28, 4 Zr 3.28
Tb 0.0000 0.5000 0.0000  4 Tb 3.25, 4 Al 3.28, 4 Zr 3.28
Al 0.5000 0.5000 0.5000  4 Zr 3.25, 8 Tb 3.28
Zr 0.5000 0.0000 0.0000  4 Al 3.25, 8 Tb 3.28

Properties
- energy relative to the elements (kJ/mol of atoms) = -14.7
- excess energy over the best structure of this formula in the dataset (meV per atom) = 0.0
- space group = No. 123
- DFT total energy (eV per formula unit) = -22.2

Entry 5:
A relaxed structure of LaTbCePu. Source: Alexandria via LeMat-Bulk, functional PBE-GGA.

Lattice parameters (Å, degrees): 5.6312 5.6312 5.6312 60.00 60.00 60.00
Last column: nearest neighbours and their distance in Å.
Positions (direct):
La 0.0000 0.0000 0.0000  4 Ce 3.45, 4 Pu 3.45
Tb 0.5000 0.5000 0.5000  4 Ce 3.45, 4 Pu 3.45
Ce 0.2500 0.2500 0.2500  4 Tb 3.45, 4 La 3.45
Pu 0.7500 0.7500 0.7500  4 La 3.45, 4 Tb 3.45

Properties
- energy relative to the elements (kJ/mol of atoms) = 26.6
- space group = No. 216
- DFT total energy (eV per formula unit) = -28.7

Entry 6:
A relaxed structure of Ho5Sn18Rh6. Source: Alexandria via LeMat-Bulk, functional PBE-GGA.

Lattice parameters (Å, degrees): 9.8846 9.8846 9.8846 60.00 60.00 60.00
Last column: nearest neighbours and their distance in Å.
Positions (direct):
Ho 0.0000 0.0000 0.0000  12 Sn 3.46, 6 Rh 3.57
Ho 0.3698 0.3698 0.8906  4 Sn 2.90-3.15, 3 Rh 3.03
Ho 0.3698 0.8906 0.3698  4 Sn 2.90-3.15, 3 Rh 3.03
Ho 0.8906 0.3698 0.3698  4 Sn 2.90-3.15, 3 Rh 3.03
Ho 0.3698 0.3698 0.3698  4 Sn 2.90-3.15, 3 Rh 3.03
Sn 0.5866 0.5866 0.2402  3 Rh 2.79
Sn 0.5866 0.2402 0.5866  3 Rh 2.79
Sn 0.2402 0.5866 0.5866  3 Rh 2.79
Sn 0.5866 0.5866 0.5866  3 Rh 2.79
Sn 0.7500 0.7500 0.7500  16 Sn 3.67-3.96
Sn 0.9898 0.3599 0.6604  2 Rh 2.70, 1 Sn 2.97
Sn 0.9898 0.9898 0.6604  2 Rh 2.70, 1 Sn 2.97
Sn 0.3599 0.9898 0.6604  2 Rh 2.70, 1 Sn 2.97
Sn 0.9898 0.6604 0.3599  2 Rh 2.70, 1 Sn 2.97
Sn 0.3599 0.6604 0.9898  2 Rh 2.70, 1 Sn 2.97
Sn 0.9898 0.6604 0.9898  2 Rh 2.70, 1 Sn 2.97
Sn 0.6604 0.9898 0.9898  2 Rh 2.70, 1 Sn 2.97
Sn 0.6604 0.3599 0.9898  2 Rh 2.70, 1 Sn 2.97
Sn 0.6604 0.9898 0.3599  2 Rh 2.70, 1 Sn 2.97
Sn 0.3599 0.9898 0.9898  2 Rh 2.70, 1 Sn 2.97
Sn 0.9898 0.9898 0.3599  2 Rh 2.70, 1 Sn 2.97
Sn 0.9898 0.3599 0.9898  2 Rh 2.70, 1 Sn 2.97
Sn 0.2500 0.2500 0.2500  4 Ho 2.90
Rh 0.2554 0.2554 0.7446  6 Sn 2.70-2.79
Rh 0.7446 0.2554 0.7446  6 Sn 2.70-2.79
Rh 0.2554 0.7446 0.7446  6 Sn 2.70-2.79
Rh 0.7446 0.7446 0.2554  6 Sn 2.70-2.79
Rh 0.2554 0.7446 0.2554  6 Sn 2.70-2.79
Rh 0.7446 0.2554 0.2554  6 Sn 2.70-2.79

Properties
- energy relative to the elements (kJ/mol of atoms) = -52.4
- space group = No. 216
- DFT total energy (eV per formula unit) = -154.8

Entry 7:
A relaxed structure of LaCdRu. Source: Alexandria via LeMat-Bulk, functional PBE-GGA.

Lattice parameters (Å, degrees): 4.0932 4.0932 5.2181 90.00 90.00 120.00
Last column: nearest neighbours and their distance in Å.
Positions (direct):
Cd 0.0000 0.0000 0.9316  3 Ru 2.74
La 0.6667 0.3333 0.4041  3 Ru 2.73
Ru 0.3333 0.6667 0.6643  3 La 2.73, 3 Cd 2.74

Properties
- energy relative to the elements (kJ/mol of atoms) = 11.5
- space group = No. 156
- DFT total energy (eV per formula unit) = -14.8

Entry 8:
A relaxed structure of ZrAgBr. Source: Alexandria via LeMat-Bulk, functional PBE-GGA.

Lattice parameters (Å, degrees): 4.7721 4.7721 3.3169 90.00 90.00 120.00
Last column: nearest neighbours and their distance in Å.
Positions (direct):
Br 0.6667 0.3333 0.4991  3 Zr 2.76
Zr 0.3333 0.6667 0.5007  3 Br 2.76
Ag 0.0000 0.0000 0.0002  6 Br 3.21-3.22, 6 Zr 3.22, 2 Ag 3.32

Properties
- excess energy over the best structure of this formula in the dataset (meV per atom) = 384.0
- space group = No. 156
- DFT total energy (eV per formula unit) = -13.1

Entry 9:
A relaxed structure of LaVS2Cl. Source: Alexandria via LeMat-Bulk, functional PBE-GGA.

Lattice parameters (Å, degrees): 4.6596 4.6596 4.6416 90.00 90.00 90.00
Last column: nearest neighbours and their distance in Å.
Positions (direct):
Cl 0.0000 0.0000 0.5000  2 V 2.32
S 0.0000 0.5000 0.0000  2 V 2.33
S 0.5000 0.0000 0.0000  2 V 2.33
V 0.0000 0.0000 0.0000  2 Cl 2.32, 4 S 2.33
La 0.5000 0.5000 0.5000  8 S 3.29, 4 Cl 3.29

Properties
- excess energy over the best structure of this formula in the dataset (meV per atom) = 0.0
- space group = No. 123
- DFT total energy (eV per formula unit) = -30.2

Entry 10:
A relaxed structure of SrMgOs3. Source: Alexandria via LeMat-Bulk, functional PBE-GGA.

Lattice parameters (Å, degrees): 4.8584 4.8584 4.8584 90.00 90.00 90.00
Last column: nearest neighbours and their distance in Å.
Positions (direct):
Sr 0.0000 0.0000 0.0000  6 Os 2.43
Mg 0.5000 0.5000 0.5000  12 Os 3.44
Os 0.0000 0.5000 0.0000  2 Sr 2.43
Os 0.0000 0.0000 0.5000  2 Sr 2.43
Os 0.5000 0.0000 0.0000  2 Sr 2.43

Properties
- energy relative to the elements (kJ/mol of atoms) = 311.6
- excess energy over the best structure of this formula in the dataset (meV per atom) = 1331.0
- space group = No. 221
- DFT total energy (eV per formula unit) = -20.8

Entry 11:
A relaxed structure of MgPtW2. Source: Alexandria via LeMat-Bulk, functional PBE-GGA.

Lattice parameters (Å, degrees): 4.6350 2.7235 5.2535 75.79 90.00 90.00
Last column: nearest neighbours and their distance in Å.
Positions (direct):
Mg 0.5000 0.2500 0.2500  2 Pt 2.65, 2 Mg 2.72, 4 W 2.82
Pt 0.5000 0.7500 0.7500  2 Mg 2.65, 2 Pt 2.72, 4 W 2.83
W 0.0000 0.9910 0.0054  4 W 2.58-2.72, 2 Mg 2.82, 2 Pt 2.83
W 0.0000 0.5090 0.4946  4 W 2.58-2.72, 2 Mg 2.82, 2 Pt 2.83

Properties
- energy relative to the elements (kJ/mol of atoms) = 9.8
- space group = No. 10
- DFT total energy (eV per formula unit) = -33.1

Entry 12:
A relaxed structure of ZnIn3Br6. Source: Alexandria via LeMat-Bulk, functional PBE-GGA.

Lattice parameters (Å, degrees): 7.7123 10.4959 10.4959 118.12 90.00 90.00
Last column: nearest neighbours and their distance in Å.
Positions (direct):
Zn 0.9665 0.2614 0.7386  4 Br 2.40-2.50
Zn 0.4665 0.7386 0.2614  4 Br 2.40-2.50
In 0.5711 0.9516 0.7691  3 Br 2.78-2.88, 1 In 3.01
In 0.0711 0.7691 0.9516  3 Br 2.78-2.88, 1 In 3.01
In 0.4119 0.4229 0.5771  1 Br 2.99
In 0.9119 0.5771 0.4229  1 Br 2.99
In 0.0711 0.0484 0.2309  3 Br 2.78-2.88, 1 In 3.01
In 0.5711 0.2309 0.0484  3 Br 2.78-2.88, 1 In 3.01
Br 0.2606 0.7860 0.7348  2 In 2.78-2.88
Br 0.7606 0.7348 0.7860  2 In 2.78-2.88
Br 0.1615 0.4758 0.8624  1 Zn 2.50
Br 0.6615 0.8624 0.4758  1 Zn 2.50
Br 0.9532 0.1278 0.8722  1 Zn 2.41
Br 0.6673 0.2978 0.7022  1 Zn 2.40
Br 0.1673 0.7022 0.2978  1 Zn 2.40
Br 0.4532 0.8722 0.1278  1 Zn 2.41
Br 0.1615 0.1376 0.5242  1 Zn 2.50
Br 0.6615 0.5242 0.1376  1 Zn 2.50
Br 0.2606 0.2652 0.2140  2 In 2.78-2.88
Br 0.7606 0.2140 0.2652  2 In 2.78-2.88

Properties
- excess energy over the best structure of this formula in the dataset (meV per atom) = 9.8
- space group = No. 36
- DFT total energy (eV per formula unit) = -26.4